[1]
KSn3Te: optimized geometry, PBE-GGA.

Unit cell a=5.984 b=5.984 c=5.984 alpha=90.00 beta=90.00 gamma=90.00
Sites, in units of the cell vectors:
Sn (0.000, 0.500, 0.000)
Sn (0.000, 0.000, 0.500)
Sn (0.500, 0.000, 0.000)
K (0.500, 0.500, 0.500)
Te (0.000, 0.000, 0.000)

Properties
- E_form (uncorrected): 0.296 eV/atom
- Excess energy over the best structure of this formula in the dataset: 0 meV per atom
- ρ: 4.05 g cm⁻³
- Final energy: -2.954 eV/atom

***

[2]
ZnHgB2: optimized geometry, PBE-GGA.

Unit cell a=4.248 b=4.248 c=4.248 alpha=60.00 beta=60.00 gamma=60.00
Sites, in units of the cell vectors:
B (0.250, 0.250, 0.250)
B (0.750, 0.750, 0.750)
Hg (0.500, 0.500, 0.500)
Zn (0.000, 0.000, 0.000)

Properties
- Energy relative to the elements: 606 kJ/mol of formula units
- Excess energy over the best structure of this formula in the dataset: 642 meV per atom
- ρ: 8.81 g cm⁻³
- Final energy: -2.164 eV/atom

***

[3]
LaSmTe2O8: optimized geometry, PBE-GGA.

Unit cell a=6.421 b=6.421 c=6.421 alpha=107.26 beta=107.26 gamma=113.99
Sites, in units of the cell vectors:
O (0.308, 0.495, 0.187)
O (0.734, 0.054, 0.680)
Te (0.750, 0.250, 0.500)
O (0.505, 0.692, 0.813)
Te (0.500, 0.500, 0.000)
O (0.879, 0.692, 0.187)
O (0.946, 0.627, 0.680)
O (0.373, 0.054, 0.320)
O (0.946, 0.266, 0.320)
O (0.308, 0.121, 0.813)
Sm (0.250, 0.750, 0.500)
La (0.000, 0.000, 0.000)

Properties
- E_form (uncorrected): -1.938 eV/atom
- ρ: 5.51 g cm⁻³
- Final energy: -6.571 eV/atom

***

[4]
Ac3Pm4Au4: optimized geometry, PBE-GGA.

Unit cell a=5.042 b=8.118 c=9.540 alpha=115.18 beta=105.32 gamma=90.00
Sites, in units of the cell vectors:
Ac (0.106, 0.106, 0.212)
Ac (0.000, 0.500, 0.000)
Au (0.791, 0.291, 0.582)
Pm (0.326, 0.114, 0.652)
Au (0.500, 0.191, 0.000)
Ac (0.894, 0.894, 0.788)
Au (0.209, 0.709, 0.418)
Pm (0.674, 0.462, 0.348)
Au (0.500, 0.809, 0.000)
Pm (0.674, 0.886, 0.348)
Pm (0.326, 0.538, 0.652)

Properties
- Energy relative to the elements: -575 kJ/mol of formula units
- ρ: 10.07 g cm⁻³
- Final energy: -4.582 eV/atom

***

[5]
Ti5Cu2Ge: optimized geometry, PBE-GGA.

Unit cell a=6.450 b=6.450 c=7.592 alpha=115.14 beta=115.14 gamma=90.00
Sites, in units of the cell vectors:
Ge (0.250, 0.250, 0.500)
Ti (0.686, 0.186, 0.683)
Ti (0.997, 0.497, 0.683)
Cu (0.368, 0.868, 0.000)
Ti (0.314, 0.814, 0.317)
Cu (0.632, 0.132, 0.000)
Ti (0.500, 0.500, 0.000)
Ti (0.814, 0.003, 0.317)
Ti (0.186, 0.997, 0.683)
Cu (0.132, 0.368, 0.000)
Ti (0.503, 0.314, 0.317)
Ge (0.750, 0.750, 0.500)
Ti (0.000, 0.000, 0.000)
Ti (0.497, 0.686, 0.683)
Ti (0.003, 0.503, 0.317)
Cu (0.868, 0.632, 0.000)

Properties
- Energy relative to the elements: -149 kJ/mol of formula units
- ρ: 5.78 g cm⁻³
- Final energy: -6.729 eV/atom

***

[6]
La3MnPd12: optimized geometry, PBE-GGA.

Unit cell a=4.188 b=4.188 c=16.401 alpha=90.00 beta=90.00 gamma=90.00
Sites, in units of the cell vectors:
Pd (0.000, 0.500, 0.370)
Pd (0.500, 0.000, 0.370)
Pd (0.500, 0.500, 0.000)
La (0.000, 0.000, 0.239)
Mn (0.000, 0.000, 0.000)
Pd (0.500, 0.000, 0.630)
Pd (0.500, 0.000, 0.110)
Pd (0.000, 0.500, 0.890)
Pd (0.000, 0.500, 0.630)
Pd (0.500, 0.500, 0.500)
La (0.000, 0.000, 0.761)
La (0.000, 0.000, 0.500)
Pd (0.500, 0.500, 0.759)
Pd (0.000, 0.500, 0.110)
Pd (0.500, 0.000, 0.890)
Pd (0.500, 0.500, 0.241)

Properties
- Energy relative to the elements: -978 kJ/mol of formula units
- ρ: 10.09 g cm⁻³
- Final energy: -6.025 eV/atom

***

[7]
SmPa3As4: optimized geometry, PBE-GGA.

Unit cell a=4.116 b=7.133 c=7.133 alpha=70.53 beta=90.00 gamma=90.00
Sites, in units of the cell vectors:
Pa (0.000, 0.000, 0.000)
As (0.500, 0.752, 0.251)
As (0.000, 0.755, 0.745)
Pa (0.500, 0.000, 0.500)
Sm (0.500, 0.500, 0.000)
Pa (0.000, 0.500, 0.500)
As (0.500, 0.249, 0.749)
As (0.000, 0.245, 0.255)

Properties
- Energy relative to the elements: -899 kJ/mol of formula units
- ρ: 9.61 g cm⁻³
- Final energy: -7.641 eV/atom

***

[8]
Pa2PRhN5: optimized geometry, PBE-GGA.

Unit cell a=5.172 b=6.736 c=6.736 alpha=90.00 beta=90.00 gamma=90.00
Sites, in units of the cell vectors:
Rh (0.000, 0.000, 0.000)
Pa (0.500, 0.314, 0.814)
Pa (0.500, 0.814, 0.686)
N (0.500, 0.500, 0.500)
N (0.238, 0.624, 0.876)
N (0.762, 0.376, 0.124)
Pa (0.500, 0.186, 0.314)
Pa (0.500, 0.686, 0.186)
N (0.762, 0.624, 0.876)
Rh (0.000, 0.500, 0.500)
P (0.000, 0.000, 0.500)
N (0.238, 0.124, 0.624)
N (0.500, 0.000, 0.000)
N (0.238, 0.876, 0.376)
P (0.000, 0.500, 0.000)
N (0.762, 0.876, 0.376)
N (0.238, 0.376, 0.124)
N (0.762, 0.124, 0.624)

Properties
- E_form (uncorrected): -0.430 eV/atom
- ρ: 9.43 g cm⁻³
- Final energy: -8.583 eV/atom

***

[9]
Ce4Be3GeRh12: optimized geometry, PBE-GGA.

Unit cell a=7.530 b=7.530 c=7.530 alpha=109.47 beta=109.47 gamma=109.47
Sites, in units of the cell vectors:
Ge (0.000, 0.000, 0.000)
Be (0.000, 0.500, 0.500)
Rh (0.750, 0.500, 0.250)
Ce (0.000, 0.500, 0.000)
Be (0.500, 0.500, 0.000)
Rh (0.250, 0.750, 0.500)
Ce (0.000, 0.000, 0.500)
Be (0.500, 0.000, 0.500)
Rh (0.736, 0.000, 0.736)
Rh (0.000, 0.264, 0.264)
Ce (0.500, 0.000, 0.000)
Rh (0.250, 0.500, 0.750)
Rh (0.750, 0.250, 0.500)
Rh (0.736, 0.736, 0.000)
Rh (0.264, 0.000, 0.264)
Ce (0.500, 0.500, 0.500)
Rh (0.264, 0.264, 0.000)
Rh (0.500, 0.750, 0.250)
Rh (0.500, 0.250, 0.750)
Rh (0.000, 0.736, 0.736)

Properties
- Energy relative to the elements: -1087 kJ/mol of formula units
- ρ: 9.57 g cm⁻³
- Final energy: -6.951 eV/atom

***

[10]
Ac12LaPd7: optimized geometry, PBE-GGA.

Unit cell a=9.702 b=9.702 c=9.702 alpha=107.31 beta=107.31 gamma=107.31
Sites, in units of the cell vectors:
La (0.000, 0.000, 0.000)
Pd (0.348, 0.116, 0.038)
Ac (0.226, 0.072, 0.690)
Ac (0.310, 0.774, 0.928)
Ac (0.845, 0.617, 0.541)
Ac (0.155, 0.383, 0.459)
Ac (0.774, 0.928, 0.310)
Ac (0.072, 0.690, 0.226)
Pd (0.116, 0.038, 0.348)
Ac (0.459, 0.155, 0.383)
Pd (0.884, 0.962, 0.652)
Ac (0.928, 0.310, 0.774)
Ac (0.690, 0.226, 0.072)
Ac (0.617, 0.541, 0.845)
Pd (0.500, 0.500, 0.500)
Pd (0.038, 0.348, 0.116)
Ac (0.541, 0.845, 0.617)
Pd (0.962, 0.652, 0.884)
Pd (0.652, 0.884, 0.962)
Ac (0.383, 0.459, 0.155)

Properties
- Energy relative to the elements: -961 kJ/mol of formula units
- ρ: 7.94 g cm⁻³
- Final energy: -5.027 eV/atom

***

[11]
MnAl2Fe3: optimized geometry, PBE-GGA.

Unit cell a=2.842 b=4.036 c=6.350 alpha=108.53 beta=90.00 gamma=90.00
Sites, in units of the cell vectors:
Al (0.000, 0.334, 0.669)
Fe (0.500, 0.500, 0.000)
Al (0.000, 0.666, 0.331)
Fe (0.500, 0.838, 0.675)
Mn (0.000, 0.000, 0.000)
Fe (0.500, 0.162, 0.325)

Properties
- Energy relative to the elements: -121 kJ/mol of formula units
- ρ: 6.65 g cm⁻³
- Final energy: -7.217 eV/atom

***

[12]
Nd7Se4S4: optimized geometry, PBE-GGA.

Unit cell a=7.033 b=10.991 c=10.991 alpha=84.12 beta=71.34 gamma=71.34
Sites, in units of the cell vectors:
S (0.401, 0.197, 0.500)
Nd (0.275, 0.725, 0.725)
Nd (0.500, 0.381, 0.619)
S (0.599, 0.803, 0.500)
S (0.401, 0.500, 0.197)
Nd (0.119, 0.381, 0.381)
Nd (0.752, 0.000, 0.000)
Se (0.126, 0.749, 0.000)
S (0.099, 0.803, 0.500)
Nd (0.000, 0.725, 0.275)
Nd (0.000, 0.275, 0.725)
Se (0.500, 0.175, 0.825)
Nd (0.297, 0.000, 0.406)
Se (0.675, 0.825, 0.825)
Nd (0.725, 0.275, 0.275)
Nd (0.297, 0.406, 0.000)
S (0.901, 0.197, 0.500)
Se (0.874, 0.251, 0.000)
S (0.099, 0.500, 0.803)
Nd (0.248, 0.000, 0.000)
Se (0.500, 0.825, 0.175)
Nd (0.703, 0.000, 0.594)
Nd (0.881, 0.619, 0.619)
Nd (0.500, 0.619, 0.381)
Se (0.325, 0.175, 0.175)
Se (0.874, 0.000, 0.251)
Se (0.126, 0.000, 0.749)
Nd (0.703, 0.594, 0.000)
S (0.901, 0.500, 0.197)
S (0.599, 0.500, 0.803)

Properties
- E_form (uncorrected): -1.820 eV/atom
- ρ: 6.33 g cm⁻³
- Final energy: -6.075 eV/atom

***

[13]
Na2Te3Pb2: optimized geometry, PBE-GGA.

Unit cell a=4.722 b=8.190 c=8.161 alpha=109.48 beta=73.21 gamma=89.99
Sites, in units of the cell vectors:
Na (0.169, 0.666, 0.664)
Pb (0.624, 0.090, 0.751)
Te (0.783, 0.741, 0.435)
Te (0.217, 0.259, 0.565)
Te (0.000, 0.000, 0.000)
Na (0.831, 0.334, 0.336)
Pb (0.376, 0.910, 0.249)

Properties
- E_form (uncorrected): -0.578 eV/atom
- ρ: 4.94 g cm⁻³
- Final energy: -3.361 eV/atom

***

[14]
Pm4TlAg2Pd: optimized geometry, PBE-GGA.

Unit cell a=5.289 b=5.289 c=9.113 alpha=73.13 beta=73.13 gamma=60.00
Sites, in units of the cell vectors:
Pm (0.131, 0.131, 0.608)
Pm (0.618, 0.618, 0.147)
Ag (0.257, 0.257, 0.229)
Pm (0.382, 0.382, 0.853)
Pm (0.869, 0.869, 0.392)
Tl (0.000, 0.000, 0.000)
Pd (0.500, 0.500, 0.500)
Ag (0.743, 0.743, 0.771)

Properties
- Energy relative to the elements: -330 kJ/mol of formula units
- ρ: 8.83 g cm⁻³
- Final energy: -4.461 eV/atom

***

[15]
BaBi3C: optimized geometry, PBE-GGA.

Unit cell a=6.465 b=6.465 c=6.465 alpha=90.00 beta=90.00 gamma=90.00
Sites, in units of the cell vectors:
Bi (0.000, 0.500, 0.000)
C (0.500, 0.500, 0.500)
Bi (0.000, 0.000, 0.500)
Ba (0.000, 0.000, 0.000)
Bi (0.500, 0.000, 0.000)

Properties
- Energy relative to the elements: 1067 kJ/mol of formula units
- Excess energy over the best structure of this formula in the dataset: 1712 meV per atom
- ρ: 4.77 g cm⁻³
- Final energy: -2.346 eV/atom

***

[16]
AlSi3F: optimized geometry, PBE-GGA.

Unit cell a=4.366 b=4.366 c=4.366 alpha=90.00 beta=90.00 gamma=90.00
Sites, in units of the cell vectors:
Si (0.500, 0.000, 0.000)
F (0.000, 0.000, 0.000)
Si (0.000, 0.500, 0.000)
Al (0.500, 0.500, 0.500)
Si (0.000, 0.000, 0.500)

Properties
- E_form (uncorrected): 0.411 eV/atom
- Excess energy over the best structure of this formula in the dataset: 0 meV per atom
- ρ: 2.60 g cm⁻³
- Final energy: -3.966 eV/atom

***

[17]
Ba2DyGeSe5: optimized geometry, PBE-GGA.

Unit cell a=4.475 b=9.669 c=13.172 alpha=90.00 beta=90.00 gamma=103.38
Sites, in units of the cell vectors:
Se (0.315, 0.631, 0.376)
Ba (0.121, 0.242, 0.687)
Se (0.299, 0.598, 0.665)
Ba (0.125, 0.251, 0.327)
Ge (0.443, 0.886, 0.438)
Se (0.956, 0.912, 0.523)
Dy (0.796, 0.591, 0.527)
Se (0.351, 0.701, 0.008)
Se (0.500, 0.000, 0.272)
Se (0.649, 0.299, 0.508)
Ba (0.879, 0.758, 0.187)
Dy (0.204, 0.409, 0.027)
Se (0.685, 0.369, 0.876)
Se (0.701, 0.402, 0.165)
Ba (0.875, 0.749, 0.827)
Se (0.044, 0.088, 0.023)
Ge (0.557, 0.114, 0.938)
Se (0.500, 0.000, 0.772)

Properties
- E_form (uncorrected): -1.537 eV/atom
- ρ: 5.42 g cm⁻³
- Final energy: -4.925 eV/atom

***

[18]
Zr2ScPb: optimized geometry, PBE-GGA.

Unit cell a=3.401 b=4.115 c=6.739 alpha=90.00 beta=90.00 gamma=90.00
Sites, in units of the cell vectors:
Zr (0.500, 0.500, 0.244)
Sc (0.500, 0.500, 0.750)
Pb (0.000, 0.000, 0.503)
Zr (0.000, 0.000, 0.003)

Properties
- Energy relative to the elements: -58 kJ/mol of formula units
- ρ: 7.65 g cm⁻³
- Final energy: -6.933 eV/atom

***

[19]
La6NdDy2Ho: optimized geometry, PBE-GGA.

Unit cell a=9.313 b=6.967 c=6.714 alpha=121.25 beta=104.67 gamma=90.00
Sites, in units of the cell vectors:
Nd (0.500, 0.000, 0.000)
Dy (0.172, 0.072, 0.143)
La (0.188, 0.031, 0.608)
La (0.812, 0.424, 0.392)
La (0.574, 0.367, 0.734)
La (0.426, 0.633, 0.266)
Ho (0.000, 0.500, 0.000)
La (0.188, 0.576, 0.608)
Dy (0.828, 0.928, 0.857)
La (0.812, 0.969, 0.392)

Properties
- Energy relative to the elements: 185 kJ/mol of formula units
- ρ: 6.85 g cm⁻³
- Final energy: -4.619 eV/atom

***

[20]
CaAgSO4: optimized geometry, PBE-GGA.

Unit cell a=5.204 b=7.562 c=7.562 alpha=61.83 beta=69.87 gamma=69.87
Sites, in units of the cell vectors:
Ca (0.000, 0.500, 0.500)
S (0.580, 0.670, 0.170)
O (0.734, 0.255, 0.755)
O (0.356, 0.233, 0.056)
O (0.743, 0.745, 0.245)
Ag (0.500, 0.000, 0.500)
O (0.644, 0.767, 0.944)
O (0.257, 0.255, 0.755)
Ca (0.000, 0.000, 0.000)
O (0.266, 0.745, 0.245)
S (0.420, 0.330, 0.830)
O (0.644, 0.444, 0.267)
Ag (0.000, 0.000, 0.500)
O (0.356, 0.556, 0.733)

Properties
- E_form (uncorrected): -1.521 eV/atom
- ρ: 3.37 g cm⁻³
- Final energy: -5.637 eV/atom

***

[21]
BPIO2: optimized geometry, PBE-GGA.

Unit cell a=3.896 b=3.896 c=5.585 alpha=90.00 beta=90.00 gamma=90.00
Sites, in units of the cell vectors:
P (0.000, 0.000, 0.500)
O (0.000, 0.500, 0.000)
I (0.000, 0.000, 0.000)
O (0.500, 0.000, 0.000)
B (0.500, 0.500, 0.500)

Properties
- E_form (uncorrected): 1.081 eV/atom
- Excess energy over the best structure of this formula in the dataset: 823 meV per atom
- ρ: 3.93 g cm⁻³
- Final energy: -3.629 eV/atom